(1)
# Pm6Ir3N | Alexandria via LeMat-Bulk | PBE | optimized geometry
# Total DFT energy (no corrections) (eV per atom): -7.0595
# Raw formation energy (eV per atom): -0.718
data_Pm6Ir3N
_chemical_formula_sum 'Pm12 Ir6 N2'
_cell_length_a 6.748
_cell_length_b 7.429
_cell_length_c 11.805
_cell_angle_alpha 90.00
_cell_angle_beta 122.53
_cell_angle_gamma 90.00
_space_group_name_H-M_alt 'P 1'
_space_group_IT_number 1
loop_
_space_group_symop_operation_xyz
'x,y,z'
loop_
_atom_site_label
_atom_site_type_symbol
_atom_site_fract_x
_atom_site_fract_y
_atom_site_fract_z
Pm1 Pm 0.095 0.047 0.236
Pm2 Pm 0.095 0.453 0.736
Pm3 Pm 0.235 0.688 0.075
Pm4 Pm 0.235 0.812 0.575
Pm5 Pm 0.366 0.166 0.061
Pm6 Pm 0.366 0.334 0.561
Pm7 Pm 0.634 0.666 0.439
Pm8 Pm 0.634 0.834 0.939
Pm9 Pm 0.765 0.188 0.425
Pm10 Pm 0.765 0.312 0.925
Pm11 Pm 0.905 0.547 0.264
Pm12 Pm 0.905 0.953 0.764
Ir1 Ir 0.305 0.105 0.769
Ir2 Ir 0.305 0.395 0.269
Ir3 Ir 0.500 0.000 0.500
Ir4 Ir 0.500 0.500 0.000
Ir5 Ir 0.695 0.605 0.731
Ir6 Ir 0.695 0.895 0.231
N1 N 0.000 0.000 0.000
N2 N 0.000 0.500 0.500

***

(2)
# LaTcW | Alexandria via LeMat-Bulk | PBE | optimized geometry
# Total DFT energy (no corrections) (eV per atom): -8.7967
# ΔE_f (eV/f.u.): 1.86
# Polymorph energy (0 for the lowest one) (eV/f.u.): 1.415
data_LaTcW
_chemical_formula_sum 'La1 Tc1 W1'
_cell_length_a 3.130
_cell_length_b 3.130
_cell_length_c 7.245
_cell_angle_alpha 90.00
_cell_angle_beta 90.00
_cell_angle_gamma 120.00
_space_group_name_H-M_alt 'P 1'
_space_group_IT_number 1
loop_
_space_group_symop_operation_xyz
'x,y,z'
loop_
_atom_site_label
_atom_site_type_symbol
_atom_site_fract_x
_atom_site_fract_y
_atom_site_fract_z
La1 La 0.000 0.000 0.000
Tc1 Tc 0.667 0.333 0.373
W1 W 0.333 0.667 0.619

***

(3)
# InSn2Te2 | Alexandria via LeMat-Bulk | PBE | optimized geometry
# Total DFT energy (no corrections) (eV per atom): -3.4719
# Raw formation energy (eV per atom): -0.066
# Polymorph energy (0 for the lowest one) (eV/f.u.): 0.074
data_InSn2Te2
_chemical_formula_sum 'In2 Sn4 Te4'
_cell_length_a 8.696
_cell_length_b 8.696
_cell_length_c 4.157
_cell_angle_alpha 90.00
_cell_angle_beta 90.00
_cell_angle_gamma 90.00
_space_group_name_H-M_alt 'P 1'
_space_group_IT_number 1
loop_
_space_group_symop_operation_xyz
'x,y,z'
loop_
_atom_site_label
_atom_site_type_symbol
_atom_site_fract_x
_atom_site_fract_y
_atom_site_fract_z
In1 In 0.000 0.000 0.000
In2 In 0.500 0.500 0.000
Sn1 Sn 0.145 0.355 0.500
Sn2 Sn 0.355 0.855 0.500
Sn3 Sn 0.645 0.145 0.500
Sn4 Sn 0.855 0.645 0.500
Te1 Te 0.156 0.656 0.000
Te2 Te 0.344 0.156 0.000
Te3 Te 0.656 0.844 0.000
Te4 Te 0.844 0.344 0.000

***

(4)
# LiUTl2Se4 | Alexandria via LeMat-Bulk | PBE | optimized geometry
# Total DFT energy (no corrections) (eV per atom): -4.8537
# Raw formation energy (eV per atom): -0.870
data_LiUTl2Se4
_chemical_formula_sum 'Li1 U1 Tl2 Se4'
_cell_length_a 6.941
_cell_length_b 4.183
_cell_length_c 8.024
_cell_angle_alpha 90.00
_cell_angle_beta 106.69
_cell_angle_gamma 90.00
_space_group_name_H-M_alt 'P 1'
_space_group_IT_number 1
loop_
_space_group_symop_operation_xyz
'x,y,z'
loop_
_atom_site_label
_atom_site_type_symbol
_atom_site_fract_x
_atom_site_fract_y
_atom_site_fract_z
Li1 Li 0.000 0.000 0.000
U1 U 0.500 0.500 0.000
Tl1 Tl 0.000 0.500 0.500
Tl2 Tl 0.500 0.000 0.500
Se1 Se 0.250 0.500 0.199
Se2 Se 0.272 0.000 0.801
Se3 Se 0.728 0.000 0.199
Se4 Se 0.750 0.500 0.801

***

Repeat the first record exactly.
# Pm6Ir3N | Alexandria via LeMat-Bulk | PBE | optimized geometry
# Total DFT energy (no corrections) (eV per atom): -7.0595
# Raw formation energy (eV per atom): -0.718
data_Pm6Ir3N
_chemical_formula_sum 'Pm12 Ir6 N2'
_cell_length_a 6.748
_cell_length_b 7.429
_cell_length_c 11.805
_cell_angle_alpha 90.00
_cell_angle_beta 122.53
_cell_angle_gamma 90.00
_space_group_name_H-M_alt 'P 1'
_space_group_IT_number 1
loop_
_space_group_symop_operation_xyz
'x,y,z'
loop_
_atom_site_label
_atom_site_type_symbol
_atom_site_fract_x
_atom_site_fract_y
_atom_site_fract_z
Pm1 Pm 0.095 0.047 0.236
Pm2 Pm 0.095 0.453 0.736
Pm3 Pm 0.235 0.688 0.075
Pm4 Pm 0.235 0.812 0.575
Pm5 Pm 0.366 0.166 0.061
Pm6 Pm 0.366 0.334 0.561
Pm7 Pm 0.634 0.666 0.439
Pm8 Pm 0.634 0.834 0.939
Pm9 Pm 0.765 0.188 0.425
Pm10 Pm 0.765 0.312 0.925
Pm11 Pm 0.905 0.547 0.264
Pm12 Pm 0.905 0.953 0.764
Ir1 Ir 0.305 0.105 0.769
Ir2 Ir 0.305 0.395 0.269
Ir3 Ir 0.500 0.000 0.500
Ir4 Ir 0.500 0.500 0.000
Ir5 Ir 0.695 0.605 0.731
Ir6 Ir 0.695 0.895 0.231
N1 N 0.000 0.000 0.000
N2 N 0.000 0.500 0.500

***

Look up the total DFT energy (no corrections) of the second one.
-8.7967 eV per atom

***

Which value of total DFT energy (no corrections) does entry 3 give?
-3.4719 eV per atom